# 1
SrNi2Te | PBE | relaxed

Cell lengths 3.8013, 5.6675, 8.4406 Å; angles 90.00, 90.00, 90.00 degrees
Closest atoms and distances in Å follow each position.
Space group Imm2 (No. 44)
Asymmetric unit:
Sr1 0.0000 0.0000 0.0000  8 Ni 3.18-3.41, 4 Te 3.24-3.26
Ni1 0.0000 0.0000 0.5030  2 Ni 2.37, 2 Te 2.48
Ni2 0.0000 0.5000 0.1710  2 Ni 2.37
Te1 0.0000 0.5000 0.8139  2 Ni 2.48

Values from the calculation:
Energy above the lowest structure with this stoichiometry, meV/atom: 339
Crystal system: orthorhombic
Formation energy without anion corrections, eV per atom: -0.036


# 2
Ho2MnS4 | PBE | relaxed

Cell lengths 11.0520, 11.0520, 11.0520 Å; angles 90.00, 90.00, 90.00 degrees
Closest atoms and distances in Å follow each position.
Space group Fd-3m (No. 227, origin choice 2)
Asymmetric unit:
Ho1 0.0000 0.0000 0.0000  6 S 2.73
Mn1 0.1250 0.1250 0.6250  4 S 2.45
S1 0.0032 0.0032 0.2468  1 Mn 2.45, 3 Ho 2.73

Values from the calculation:
Crystal system: cubic
Formation energy without anion corrections, eV per atom: -1.642


So what do the calculations give for calculated total energy? Going down the list: -4.1328; -6.6179 eV/atom.